# 1
This record from the Alexandria database describes an optimized crystal structure of Pr2SmSb3. The functional is PBE.

Properties
Electronic total energy (eV/atom): -5.627

Cell: 7.845 7.845 7.845 Å, 99.58 99.58 120.00°
Fractional positions:
Pr 0.833 0.167 0.500
Pr 0.333 0.667 0.000
Pr 0.168 0.832 0.500
Pr 0.499 0.501 0.500
Sm 0.000 0.000 0.000
Sm 0.666 0.334 0.000
Sb 0.588 0.921 0.754
Sb 0.079 0.412 0.246
Sb 0.915 0.584 0.753
Sb 0.251 0.248 0.753
Sb 0.416 0.085 0.247
Sb 0.752 0.749 0.247

=====

# 2
This record from the Alexandria database describes an optimized crystal structure of PrSm2Sb. The functional is PBE.

Properties
Relative energy among the computed polymorphs (meV/atom): 88

Cell: 4.079 4.079 7.467 Å, 90.00 90.00 90.00°
Fractional positions:
Pr 0.500 0.500 0.000
Sb 0.500 0.500 0.500
Sm 0.000 0.000 0.715
Sm 0.000 0.000 0.285

=====

# 3
This record from the Alexandria database describes an optimized crystal structure of PrSm3Sb4. The functional is PBE.

Properties
Relative energy among the computed polymorphs (meV/atom): 0

Cell: 6.351 6.351 6.351 Å, 90.00 90.00 90.00°
Fractional positions:
Pr 0.000 0.000 0.000
Sb 0.500 0.000 0.000
Sb 0.000 0.500 0.000
Sb 0.000 0.000 0.500
Sb 0.500 0.500 0.500
Sm 0.000 0.500 0.500
Sm 0.500 0.000 0.500
Sm 0.500 0.500 0.000

=====

# 4
This record from the Alexandria database describes an optimized crystal structure of PrSmSb. The functional is PBE.

Properties
Electronic total energy (eV/atom): -5.218

Cell: 4.168 4.168 5.902 Å, 110.68 110.68 90.00°
Fractional positions:
Pr 0.962 0.962 0.924
Sb 0.620 0.620 0.240
Sm 0.268 0.268 0.536

=====

# 5
This record from the Alexandria database describes an optimized crystal structure of PrSm2Sb. The functional is PBE.

Properties
Relative energy among the computed polymorphs (meV/atom): 48

Cell: 4.876 4.923 4.923 Å, 90.00 90.00 90.00°
Fractional positions:
Pr 0.500 0.500 0.500
Sb 0.500 0.000 0.000
Sm 0.000 0.000 0.500
Sm 0.000 0.500 0.000

=====

# 6
This record from the Alexandria database describes an optimized crystal structure of PrSm2Sb. The functional is PBE.

Properties
Relative energy among the computed polymorphs (meV/atom): 209

Cell: 4.098 4.098 9.991 Å, 78.17 78.17 60.00°
Last column: magnetic moment on the atom in μB.
Fractional positions:
Pr 0.500 0.500 0.499  0.05
Sm 0.067 0.067 0.799  0.05
Sm 0.266 0.266 0.202  0.00
Sb 0.666 0.666 0.001  0.00

=====

# 7
This record from the Alexandria database describes an optimized crystal structure of PrSmSb2. The functional is PBE.

Properties
Relative energy among the computed polymorphs (meV/atom): 124

Cell: 4.477 4.477 8.097 Å, 73.95 73.95 60.00°
Fractional positions:
Pr 0.669 0.669 0.993
Sm 0.498 0.498 0.507
Sb 0.084 0.084 0.749
Sb 0.249 0.249 0.252

=====

# 8
This record from the Alexandria database describes an optimized crystal structure of PrSm5Sb5. The functional is PBE.

Properties
Electronic total energy (eV/atom): -5.444

Cell: 6.301 7.685 8.891 Å, 106.68 90.00 114.20°
Fractional positions:
Pr 0.000 0.000 0.000
Sm 0.666 0.332 0.333
Sm 0.667 0.334 0.835
Sm 0.000 0.000 0.500
Sm 0.333 0.666 0.165
Sm 0.334 0.668 0.667
Sb 0.830 0.661 0.170
Sb 0.832 0.664 0.662
Sb 0.500 0.000 0.000
Sb 0.168 0.336 0.338
Sb 0.170 0.339 0.830

=====

# 9
This record from the Alexandria database describes an optimized crystal structure of Pr2Sm3Sb3. The functional is PBE.

Properties
Electronic total energy (eV/atom): -5.467

Cell: 6.489 9.315 9.315 Å, 120.00 90.00 90.00°
Last column: magnetic moment on the atom in μB.
Fractional positions:
Pr 0.000 0.333 0.667  0.14
Pr 0.500 0.667 0.333  0.14
Pr 0.000 0.667 0.333  0.14
Pr 0.500 0.333 0.667  0.14
Sm 0.750 0.249 0.000  0.02
Sm 0.750 0.751 0.751  0.02
Sm 0.750 0.000 0.249  0.02
Sm 0.250 0.751 0.000  0.02
Sm 0.250 0.249 0.249  0.02
Sm 0.250 0.000 0.751  0.02
Sb 0.750 0.617 0.000  0.00
Sb 0.750 0.383 0.383  0.00
Sb 0.750 0.000 0.617  0.00
Sb 0.250 0.383 0.000  0.00
Sb 0.250 0.617 0.617  0.00
Sb 0.250 0.000 0.383  0.00

=====

# 10
This record from the Alexandria database describes an optimized crystal structure of PrSm5Sb4. The functional is PBE.

Properties
Electronic total energy (eV/atom): -5.262

Cell: 4.414 8.688 9.827 Å, 105.35 102.98 90.00°
Fractional positions:
Pr 0.500 0.000 0.000
Sm 0.825 0.652 0.649
Sm 0.838 0.169 0.676
Sm 0.162 0.831 0.324
Sm 0.500 0.500 0.000
Sm 0.175 0.348 0.351
Sb 0.328 0.908 0.657
Sb 0.992 0.739 0.985
Sb 0.672 0.092 0.343
Sb 0.008 0.261 0.015

=====

# 11
This record from the Alexandria database describes an optimized crystal structure of Pr3SmSb4. The functional is PBE.

Properties
Relative energy among the computed polymorphs (meV/atom): 0

Cell: 6.412 6.412 6.412 Å, 90.00 90.00 90.00°
Fractional positions:
Pr 0.000 0.500 0.500
Pr 0.500 0.000 0.500
Pr 0.500 0.500 0.000
Sb 0.500 0.000 0.000
Sb 0.000 0.500 0.000
Sb 0.000 0.000 0.500
Sb 0.500 0.500 0.500
Sm 0.000 0.000 0.000

=====

# 12
This record from the Alexandria database describes an optimized crystal structure of PrSm3Sb2. The functional is PBE.

Properties
Relative energy among the computed polymorphs (meV/atom): 0

Cell: 4.566 4.566 8.798 Å, 90.00 90.00 90.00°
Fractional positions:
Pr 0.500 0.500 0.000
Sm 0.500 0.000 0.356
Sm 0.000 0.500 0.644
Sm 0.000 0.000 0.000
Sb 0.500 0.000 0.718
Sb 0.000 0.500 0.282

=====

no.,M_tot (μB/cell)
1,0.0
2,0.0
3,0.0
4,0.0
5,0.0
6,0.3
7,0.0
8,0.0
9,1.1
10,0.0
11,0.0
12,0.0